VASP calculation (PBE-GGA) on an optimized crystal structure of Pr4Tl3Cu.

Calculated values
- energy of formation from the pure elements (eV per formula unit) = -2.56
- crystal system = tetragonal
- calculated density (kg/m3) = 8942
- space group = P4/mmm (123)
- calculated total energy (eV per atom) = -4.109

Cell lengths 3.7135, 3.7135, 16.7026 Å; angles 90.00, 90.00, 90.00 degrees
Closest atoms and distances in Å follow each position.
Atoms (fractional coordinates):
Cu  0.5000  0.5000  0.0000  8 Pr 3.16
Tl  0.5000  0.5000  0.5000  8 Pr 3.43, 4 Tl 3.71
Tl  0.5000  0.5000  0.2360  8 Pr 3.42-3.43, 4 Tl 3.71
Tl  0.5000  0.5000  0.7640  8 Pr 3.42-3.43, 4 Tl 3.71
Pr  0.0000  0.0000  0.1048  4 Cu 3.16, 4 Tl 3.42, 1 Pr 3.50
Pr  0.0000  0.0000  0.3683  8 Tl 3.43, 4 Pr 3.71
Pr  0.0000  0.0000  0.8952  4 Cu 3.16, 4 Tl 3.42, 1 Pr 3.50
Pr  0.0000  0.0000  0.6317  8 Tl 3.43, 4 Pr 3.71